Entry 1:
{
  "formula": "CaBi6P4O20",
  "functional": "PBE",
  "state": "optimized geometry",
  "formation_energy_uncorrected_ev_per_atom": -1.95,
  "sg": "P-1",
  "cell": [[6.991, 0.006, -0.020], [-2.941, 7.120, 0.021], [-0.599, -3.186, 8.701]],
  "species": ["O", "O", "O", "O", "O", "O", "O", "O", "O", "O", "O", "O", "O", "O", "O", "O", "O", "O", "O", "O", "Bi", "Bi", "Bi", "Bi", "Bi", "Bi", "P", "P", "P", "P", "Ca"],
  "frac_coords": [[0.365, 0.107, 0.304], [0.224, 0.684, 0.759], [0.635, 0.893, 0.696], [0.482, 0.125, 0.646], [0.449, 0.474, 0.638], [0.149, 0.999, 0.831], [0.878, 0.252, 0.728], [0.316, 0.409, 0.904], [0.851, 0.001, 0.169], [0.776, 0.316, 0.241], [0.344, 0.807, 0.079], [0.551, 0.526, 0.362], [0.518, 0.875, 0.354], [0.122, 0.748, 0.272], [0.684, 0.591, 0.096], [0.945, 0.702, 0.588], [0.656, 0.193, 0.921], [0.891, 0.672, 0.854], [0.055, 0.298, 0.412], [0.109, 0.328, 0.146], [0.810, 0.802, 0.324], [0.190, 0.198, 0.676], [0.434, 0.292, 0.086], [0.336, 0.633, 0.512], [0.664, 0.367, 0.488], [0.566, 0.708, 0.914], [0.660, 0.112, 0.748], [0.340, 0.888, 0.252], [0.051, 0.767, 0.760], [0.949, 0.233, 0.240], [0.000, 0.500, 0.000]]
}

---

Entry 2:
{
  "formula": "CaPaBi2O6",
  "functional": "PBE",
  "state": "optimized geometry",
  "formation_energy_uncorrected_ev_per_atom": -2.25,
  "sg": "R3",
  "cell": [[6.132, 0.000, -0.001], [-3.066, 5.310, 0.000], [-3.065, -1.770, 5.066]],
  "species": ["O", "O", "O", "O", "O", "O", "Pa", "Bi", "Bi", "Ca"],
  "frac_coords": [[0.069, 0.189, 0.700], [0.476, 0.109, 0.215], [0.836, 0.645, 0.701], [0.525, 0.879, 0.700], [0.864, 0.754, 0.215], [0.120, 0.366, 0.215], [0.016, 0.008, 0.010], [0.577, 0.788, 0.351], [0.494, 0.246, 0.726], [0.989, 0.494, 0.469]]
}

---

Entry 3:
{
  "formula": "CaPaBi2O8",
  "functional": "PBE",
  "state": "optimized geometry",
  "formation_energy_uncorrected_ev_per_atom": -1.87,
  "sg": "I-4m2",
  "cell": [[6.363, 0.290, 0.000], [-2.562, 5.831, 0.000], [-1.900, -3.061, 5.252]],
  "species": ["O", "O", "O", "O", "O", "O", "O", "O", "Bi", "Bi", "Pa", "Ca"],
  "frac_coords": [[0.287, 0.470, 0.183], [0.530, 0.713, 0.817], [0.339, 0.047, 0.293], [0.754, 0.047, 0.707], [0.897, 0.713, 0.183], [0.953, 0.661, 0.707], [0.287, 0.103, 0.817], [0.953, 0.246, 0.293], [0.500, 0.500, 0.000], [0.750, 0.250, 0.500], [0.000, 0.000, 0.000], [0.250, 0.750, 0.500]]
}